# 1
{
  "formula": "ZnCuPdBr2",
  "functional": "PBE",
  "state": "optimized geometry",
  "raw_formation_energy_ev_per_atom": 0.54,
  "dft_energy_ev_per_atom": -2.243,
  "lattice_angstrom": [[5.086, 0.000, 0.000], [0.000, 5.086, 0.000], [0.000, 0.000, 4.755]],
  "species": ["Zn", "Cu", "Pd", "Br", "Br"],
  "fractional_positions": [[0.000, 0.000, 0.000], [0.000, 0.000, 0.500], [0.500, 0.500, 0.500], [0.000, 0.500, 0.000], [0.500, 0.000, 0.000]]
}


# 2
{
  "formula": "TlGa2CoCl8",
  "functional": "PBE",
  "state": "optimized geometry",
  "raw_formation_energy_ev_per_atom": -0.89,
  "dft_energy_ev_per_atom": -3.415,
  "lattice_angstrom": [[6.617, -3.375, 0.000], [6.617, 3.375, 0.000], [-3.478, 0.000, 7.767]],
  "species": ["Tl", "Ga", "Ga", "Co", "Cl", "Cl", "Cl", "Cl", "Cl", "Cl", "Cl", "Cl"],
  "fractional_positions": [[0.000, 0.000, 0.000], [0.187, 0.187, 0.661], [0.813, 0.813, 0.339], [0.500, 0.500, 0.500], [0.162, 0.643, 0.286], [0.183, 0.183, 0.402], [0.357, 0.838, 0.714], [0.359, 0.359, 0.853], [0.641, 0.641, 0.147], [0.643, 0.162, 0.286], [0.817, 0.817, 0.598], [0.838, 0.357, 0.714]]
}